Entry 1
Material: PmNdZnCo
Method: DFT, PBE
State: relaxed

a b c (Å): 4.3708 5.8146 5.8146
angles (deg): 39.66 90.00 90.00
Fractional positions:
Pm (0.0000, 0.0000, 0.0000)
Nd (0.5000, 0.7222, 0.7222)
Zn (0.0000, 0.2959, 0.2959)
Co (0.5000, 0.4166, 0.4166)

***

Entry 2
Material: PmNdZnCo
Method: DFT, PBE
State: relaxed

a b c (Å): 5.0284 5.0284 5.0284
angles (deg): 60.00 60.00 60.00
Fractional positions:
Pm (0.0000, 0.0000, 0.0000)
Nd (0.5000, 0.5000, 0.5000)
Zn (0.7500, 0.7500, 0.7500)
Co (0.2500, 0.2500, 0.2500)

***

The winner here is entry 1, beating the second structure by 38 meV per atom.

***

Entry 1
Material: PrNd2Co
Method: DFT, PBE
State: relaxed

a b c (Å): 9.6098 9.6098 9.6098
angles (deg): 23.38 23.38 23.38
Fractional positions:
Pr (0.0000, 0.0000, 0.0000)
Nd (0.2239, 0.2239, 0.2239)
Nd (0.4452, 0.4452, 0.4452)
Co (0.8348, 0.8348, 0.8348)

***

Entry 2
Material: PrNd2Co
Method: DFT, PBE
State: relaxed

a b c (Å): 10.7587 10.7587 10.7587
angles (deg): 20.00 20.00 20.00
Fractional positions:
Pr (0.0000, 0.0000, 0.0000)
Nd (0.1142, 0.1142, 0.1142)
Nd (0.8858, 0.8858, 0.8858)
Co (0.5000, 0.5000, 0.5000)

***

Entry 3
Material: PrNd2Co
Method: DFT, PBE
State: relaxed

a b c (Å): 6.4117 6.4117 9.9828
angles (deg): 90.00 90.00 145.81
Fractional positions:
Pr (0.0908, 0.9092, 0.7500)
Pr (0.9092, 0.0908, 0.2500)
Nd (0.3606, 0.6394, 0.5735)
Nd (0.3606, 0.6394, 0.9265)
Nd (0.6394, 0.3606, 0.0735)
Nd (0.6394, 0.3606, 0.4265)
Co (0.2350, 0.7650, 0.2500)
Co (0.7650, 0.2350, 0.7500)

***

The winner here is entry 3, beating the second structure by 83 meV per atom.

***

Entry 1
Material: PrNd2Co
Method: DFT, PBE
State: relaxed

a b c (Å): 7.1271 9.9349 6.4777
angles (deg): 90.00 90.00 90.00
Fractional positions:
Pr (0.0460, 0.2500, 0.1466)
Pr (0.4540, 0.7500, 0.6466)
Pr (0.5460, 0.2500, 0.3534)
Pr (0.9540, 0.7500, 0.8534)
Nd (0.1692, 0.0703, 0.6758)
Nd (0.1692, 0.4297, 0.6758)
Nd (0.3308, 0.5703, 0.1758)
Nd (0.3308, 0.9297, 0.1758)
Nd (0.6692, 0.0703, 0.8242)
Nd (0.6692, 0.4297, 0.8242)
Nd (0.8308, 0.5703, 0.3242)
Nd (0.8308, 0.9297, 0.3242)
Co (0.1156, 0.7500, 0.4359)
Co (0.3844, 0.2500, 0.9359)
Co (0.6156, 0.7500, 0.0641)
Co (0.8844, 0.2500, 0.5641)

***

Entry 2
Material: PrNd2Co
Method: DFT, PBE
State: relaxed

a b c (Å): 3.5277 3.5277 9.2626
angles (deg): 90.00 90.00 90.00
Fractional positions:
Pr (0.0000, 0.0000, 0.0000)
Nd (0.5000, 0.5000, 0.3202)
Nd (0.5000, 0.5000, 0.6798)
Co (0.0000, 0.0000, 0.5000)

***

The winner here is entry 1, beating the second structure by 108 meV per atom.

***

Entry 1
Material: PrNd3Co
Method: DFT, PBE
State: relaxed

a b c (Å): 7.3112 7.3112 6.2365
angles (deg): 98.43 98.43 71.15
Fractional positions:
Pr (0.0886, 0.0886, 0.2839)
Pr (0.9114, 0.9114, 0.7161)
Nd (0.1652, 0.5812, 0.2018)
Nd (0.3444, 0.3444, 0.6842)
Nd (0.4188, 0.8348, 0.7982)
Nd (0.5812, 0.1652, 0.2018)
Nd (0.6556, 0.6556, 0.3158)
Nd (0.8348, 0.4188, 0.7982)
Co (0.1904, 0.1904, 0.9286)
Co (0.8096, 0.8096, 0.0714)

***

Entry 2
Material: PrNd3Co
Method: DFT, PBE
State: relaxed

a b c (Å): 5.4772 5.4772 5.4772
angles (deg): 90.00 90.00 90.00
Fractional positions:
Pr (0.0000, 0.0000, 0.0000)
Nd (0.0000, 0.5000, 0.5000)
Nd (0.5000, 0.0000, 0.5000)
Nd (0.5000, 0.5000, 0.0000)
Co (0.5000, 0.5000, 0.5000)

***

The winner here is entry 1, beating the second structure by 90 meV per atom.

***

Entry 1
Material: PrNdCo
Method: DFT, PBE
State: relaxed

a b c (Å): 4.0257 4.0257 6.3881
angles (deg): 90.00 90.00 120.00
Fractional positions:
Pr (0.0000, 0.0000, 0.0000)
Nd (0.3333, 0.6667, 0.4627)
Co (0.6667, 0.3333, 0.2332)

***

Entry 2
Material: PrNdCo
Method: DFT, PBE
State: relaxed

a b c (Å): 4.8566 4.8566 4.8566
angles (deg): 60.00 60.00 60.00
Fractional positions:
Pr (0.0000, 0.0000, 0.0000)
Nd (0.5000, 0.5000, 0.5000)
Co (0.2500, 0.2500, 0.2500)

***

The winner here is entry 1, beating the second structure by 54 meV per atom.

***

Entry 1
Material: Pr2NdCo2
Method: DFT, PBE
State: relaxed

a b c (Å): 7.6586 7.6586 4.1958
angles (deg): 90.00 90.00 149.14
Fractional positions:
Pr (0.1468, 0.8532, 0.0000)
Pr (0.8532, 0.1468, 0.0000)
Nd (0.5000, 0.5000, 0.5000)
Co (0.2862, 0.7138, 0.5000)
Co (0.7138, 0.2862, 0.5000)

***

Entry 2
Material: Pr2NdCo2
Method: DFT, PBE
State: relaxed

a b c (Å): 6.1010 6.1010 5.8751
angles (deg): 104.71 104.71 36.60
Fractional positions:
Pr (0.1466, 0.1466, 0.0883)
Pr (0.8534, 0.8534, 0.9117)
Nd (0.5000, 0.5000, 0.5000)
Co (0.2270, 0.2270, 0.5954)
Co (0.7730, 0.7730, 0.4046)

***

The winner here is entry 1, beating the second structure by 75 meV per atom.